Here is an optimized crystal structure of CoAuBr2 from Alexandria via LeMat-Bulk. Energies are from PBE.

- DOS(E_F): 9.34 states/eV/cell
- E above lowest polymorph: 0.746 eV/atom
- Total moment: 9.0 μB per cell
- Uncorrected formation energy: 0.79 eV per atom

Cell: 6.953 6.953 6.953 Å, 90.00 90.00 90.00°
Space group F-43m (No. 216)
Asymmetric unit:
Co1 0.000 0.000 0.000
Au1 0.250 0.250 0.750
Br1 0.000 0.000 0.500
Br2 0.250 0.250 0.250